Material: LiZr3Zn
Method: DFT, GGA-PBE
State: relaxed

Calculated values
Magnetization (μB/f.u.): 0.0
VASP energy (eV per atom): -5.09
Energy of formation from the pure elements (kJ/mol of atoms): 65.0

Cell lengths 4.690, 4.690, 4.690 Å; angles 90.00, 90.00, 90.00 degrees
Fractional coordinates of all 5 atoms:
1 Zn 0.500 0.500 0.500
2 Zr 0.000 0.500 0.000
3 Zr 0.000 0.000 0.500
4 Zr 0.500 0.000 0.000
5 Li 0.000 0.000 0.000



Material: LiZr2Zn
Method: DFT, GGA-PBE
State: relaxed

Calculated values
Magnetization (μB/f.u.): 0.0
VASP energy (eV per atom): -5.07
Energy of formation from the pure elements (kJ/mol of atoms): 0.4

Cell lengths 5.658, 5.658, 5.658 Å; angles 146.81, 129.79, 61.53 degrees
Fractional coordinates of all 4 atoms:
1 Li 0.471 0.471 0.000
2 Zn 0.273 0.773 0.500
3 Zr 0.012 0.012 0.000
4 Zr 0.744 0.244 0.500